Record 1
Crystalline CaLaSm4 at its relaxed geometry. Source: the Alexandria database, functional GGA-PBE.

Output
VASP energy = -4.24 eV per atom
D(E_F) = 10.21 states/eV/f.u.
SG = Pmmm (47)
ΔH_f (0 K) = 0.06 eV/atom
energy above the lowest structure with this stoichiometry = 0 meV/atom
calculated density = 6.106 g/cm3

Cell: 3.671 5.215 11.085 Å, 90.00 89.98 90.00°
Fractional coordinates of all 6 atoms:
Sm: 0.500 0.000 0.835
La: 0.000 0.500 0.000
Sm: 0.000 0.500 0.676
Sm: 0.500 0.000 0.165
Ca: 0.500 0.000 0.500
Sm: 0.000 0.500 0.324

Record 2
Crystalline CaLa2Sm3 at its relaxed geometry. Source: the Alexandria database, functional GGA-PBE.

Output
VASP energy = -4.14 eV per atom
D(E_F) = 10.36 states/eV/f.u.
SG = P-3m1 (164)
ΔH_f (0 K) = 0.19 eV/atom
calculated density = 5.691 g/cm3

Cell: 6.827 6.827 11.117 Å, 90.00 90.00 120.00°
Fractional coordinates of all 12 atoms:
La: 0.667 0.333 0.423
Sm: 0.340 0.170 0.743
La: 0.000 0.000 0.000
La: 0.333 0.667 0.577
Sm: 0.830 0.170 0.743
Sm: 0.170 0.830 0.257
Sm: 0.660 0.830 0.257
La: 0.000 0.000 0.500
Sm: 0.170 0.340 0.257
Ca: 0.333 0.667 0.936
Ca: 0.667 0.333 0.064
Sm: 0.830 0.660 0.743

Record 3
Crystalline CaLaSm4 at its relaxed geometry. Source: the Alexandria database, functional GGA-PBE.

Output
VASP energy = -4.11 eV per atom
D(E_F) = 6.98 states/eV/f.u.
SG = F-43m (216)
ΔH_f (0 K) = 0.19 eV/atom
energy above the lowest structure with this stoichiometry = 137 meV/atom
calculated density = 5.796 g/cm3

Cell: 6.813 6.813 6.813 Å, 60.00 60.00 60.00°
Fractional coordinates of all 6 atoms:
La: 0.000 0.000 0.000
Sm: 0.626 0.626 0.626
Sm: 0.626 0.626 0.122
Sm: 0.626 0.122 0.626
Sm: 0.122 0.626 0.626
Ca: 0.250 0.250 0.250

Record 4
Crystalline CaLa6Sm at its relaxed geometry. Source: the Alexandria database, functional GGA-PBE.

Output
VASP energy = -4.50 eV per atom
D(E_F) = 12.08 states/eV/f.u.
SG = P4/mmm (123)
ΔH_f (0 K) = 0.03 eV/atom
calculated density = 5.771 g/cm3

Cell: 5.286 5.286 10.543 Å, 90.00 90.00 90.00°
Fractional coordinates of all 8 atoms:
La: 0.500 0.500 0.500
La: 0.500 0.500 0.000
La: 0.000 0.500 0.743
La: 0.500 0.000 0.743
La: 0.000 0.500 0.257
Ca: 0.000 0.000 0.000
Sm: 0.000 0.000 0.500
La: 0.500 0.000 0.257

Record 5
Crystalline CaLaSm at its relaxed geometry. Source: the Alexandria database, functional GGA-PBE.

Output
VASP energy = -3.84 eV per atom
D(E_F) = 5.11 states/eV/f.u.
SG = P4/nmm (129)
ΔH_f (0 K) = 0.04 eV/atom
energy above the lowest structure with this stoichiometry = 4 meV/atom
calculated density = 4.857 g/cm3

Cell: 3.741 3.741 16.086 Å, 90.00 90.00 90.00°
Fractional coordinates of all 6 atoms:
La: 0.500 0.000 0.414
Ca: 0.000 0.500 0.909
Sm: 0.000 0.500 0.260
Ca: 0.500 0.000 0.091
La: 0.000 0.500 0.586
Sm: 0.500 0.000 0.740

Record 6
Crystalline CaLaSm14 at its relaxed geometry. Source: the Alexandria database, functional GGA-PBE.

Output
VASP energy = -4.52 eV per atom
D(E_F) = 26.94 states/eV/f.u.
SG = Amm2 (38)
ΔH_f (0 K) = 0.04 eV/atom
calculated density = 6.826 g/cm3

Cell: 7.401 7.401 11.726 Å, 90.00 90.00 120.09°
Fractional coordinates of all 16 atoms:
Sm: 0.167 0.333 0.500
Sm: 0.836 0.164 0.748
Sm: 0.328 0.165 0.746
Sm: 0.333 0.667 0.250
Sm: 0.835 0.672 0.254
Sm: 0.333 0.667 0.750
Sm: 0.328 0.165 0.254
Sm: 0.667 0.333 0.500
Ca: 0.667 0.333 0.000
Sm: 0.667 0.833 0.500
Sm: 0.664 0.831 0.000
Sm: 0.166 0.834 0.500
Sm: 0.835 0.672 0.746
Sm: 0.836 0.164 0.252
Sm: 0.169 0.336 0.000
La: 0.169 0.831 0.000

Record 7
Crystalline Ca2La12Sm5 at its relaxed geometry. Source: the Alexandria database, functional GGA-PBE.

Output
VASP energy = -4.45 eV per atom
D(E_F) = 31.24 states/eV/f.u.
SG = C2/m (12)
ΔH_f (0 K) = 0.11 eV/atom
calculated density = 5.962 g/cm3

Cell: 11.915 8.987 9.698 Å, 70.51 90.00 131.52°
Fractional coordinates of all 19 atoms:
La: 0.829 0.217 0.573
La: 0.875 0.751 0.942
Sm: 0.692 0.384 0.761
La: 0.052 0.616 0.801
La: 0.948 0.384 0.199
La: 0.564 0.616 0.801
La: 0.388 0.217 0.573
La: 0.436 0.384 0.199
Ca: 0.729 0.000 0.000
Sm: 0.000 0.000 0.500
Sm: 0.192 0.384 0.667
La: 0.125 0.249 0.058
Sm: 0.308 0.616 0.239
Ca: 0.271 0.000 0.000
La: 0.575 0.150 0.221
Sm: 0.808 0.616 0.333
La: 0.171 0.783 0.427
La: 0.425 0.850 0.779
La: 0.612 0.783 0.427

Record 8
Crystalline CaLaSm at its relaxed geometry. Source: the Alexandria database, functional GGA-PBE.

Output
VASP energy = -3.72 eV per atom
D(E_F) = 4.58 states/eV/f.u.
SG = Pmma (51)
ΔH_f (0 K) = 0.16 eV/atom
energy above the lowest structure with this stoichiometry = 120 meV/atom
calculated density = 4.771 g/cm3

Cell: 3.588 9.315 6.859 Å, 90.00 90.00 90.00°
Fractional coordinates of all 6 atoms:
Ca: 0.000 0.145 0.750
La: 0.500 0.782 0.750
Sm: 0.000 0.500 0.500
Ca: 0.000 0.855 0.250
Sm: 0.000 0.500 0.000
La: 0.500 0.218 0.250

Record 9
Crystalline CaLaSmSn at its relaxed geometry. Source: the Alexandria database, functional GGA-PBE.

Output
VASP energy = -4.21 eV per atom
D(E_F) = 5.37 states/eV/f.u.
SG = F-43m (216)
ΔH_f (0 K) = -0.29 eV/atom
calculated density = 5.989 g/cm3

Cell: 5.601 5.601 5.601 Å, 60.00 60.00 60.00°
Fractional coordinates of all 4 atoms:
Sn: 0.750 0.750 0.750
Sm: 0.000 0.000 0.000
La: 0.500 0.500 0.500
Ca: 0.250 0.250 0.250

Record 10
Crystalline CaLaTbSm at its relaxed geometry. Source: the Alexandria database, functional GGA-PBE.

Output
VASP energy = -3.95 eV per atom
D(E_F) = 7.07 states/eV/f.u.
SG = F-43m (216)
ΔH_f (0 K) = 0.12 eV/atom
energy above the lowest structure with this stoichiometry = 72 meV/atom
calculated density = 5.649 g/cm3

Cell: 5.877 5.877 5.877 Å, 60.00 60.00 60.00°
Fractional coordinates of all 4 atoms:
Tb: 0.750 0.750 0.750
Ca: 0.250 0.250 0.250
Sm: 0.000 0.000 0.000
La: 0.500 0.500 0.500

Please write out number 1 again, unchanged.
Crystalline CaLaSm4 at its relaxed geometry. Source: the Alexandria database, functional GGA-PBE.

Output
VASP energy = -4.24 eV per atom
D(E_F) = 10.21 states/eV/f.u.
SG = Pmmm (47)
ΔH_f (0 K) = 0.06 eV/atom
energy above the lowest structure with this stoichiometry = 0 meV/atom
calculated density = 6.106 g/cm3

Cell: 3.671 5.215 11.085 Å, 90.00 89.98 90.00°
Fractional coordinates of all 6 atoms:
Sm: 0.500 0.000 0.835
La: 0.000 0.500 0.000
Sm: 0.000 0.500 0.676
Sm: 0.500 0.000 0.165
Ca: 0.500 0.000 0.500
Sm: 0.000 0.500 0.324